LaSm2Zr: relaxed, GGA-PBE.

```
LaSm2Zr
1.0
4.071 0.000 0.000
0.000 4.071 0.000
0.000 0.000 7.554
La Sm Zr
1 2 1
direct
0.000 0.000 0.000 La
0.500 0.500 0.286 Sm
0.500 0.500 0.714 Sm
0.000 0.000 0.500 Zr
```

Computed properties:
Energy   -5.55 eV per atom
Theoretical density   7.04 g/cm3
Space group   No. 123
Excess energy over the best structure of this formula in the dataset   75.7 meV/atom
Calculated formation energy   0.7 eV/f.u.

La2Sn3: relaxed, GGA-PBE.

```
La2Sn3
1.0
4.426 0.000 0.000
0.000 4.564 0.000
0.000 0.000 15.786
La Sn
4 6
direct
0.000 0.000 0.000 La
0.000 0.500 0.245 La
0.500 0.000 0.745 La
0.500 0.500 0.500 La
0.000 0.000 0.395 Sn
0.000 0.000 0.575 Sn
0.000 0.500 0.692 Sn
0.500 0.000 0.192 Sn
0.500 0.500 0.075 Sn
0.500 0.500 0.895 Sn
```

Computed properties:
Energy   -5.02 eV per atom
Theoretical density   6.60 g/cm3
Space group   No. 44
Calculated formation energy   -3.2 eV/f.u.

La5Sn: relaxed, GGA-PBE.

```
La5Sn
1.0
11.596 0.000 0.000
0.000 4.925 0.000
-2.377 0.000 7.011
La Sn
10 2
direct
0.000 0.000 0.000 La
0.155 0.500 0.825 La
0.176 0.500 0.352 La
0.324 0.000 0.648 La
0.345 0.000 0.175 La
0.500 0.500 0.000 La
0.655 0.000 0.825 La
0.676 0.000 0.352 La
0.824 0.500 0.648 La
0.845 0.500 0.175 La
0.000 0.000 0.500 Sn
0.500 0.500 0.500 Sn
```

Computed properties:
Energy   -5.05 eV per atom
Theoretical density   6.74 g/cm3
Space group   No. 12
Excess energy over the best structure of this formula in the dataset   14.0 meV/atom
Calculated formation energy   -1.6 eV/f.u.

Question: Among the records above, which one has the lowest calculated formation energy?
Answer: La2Sn3

Question: Look up the energy of the first one.
Answer: -5.55 eV per atom